# FeNiSe2O8

An optimized crystal structure of FeNiSe2O8 (PBE with a Hubbard U, Alexandria via LeMat-Bulk).

```
FeNiSe2O8
1.0
-5.4408 -0.0608 -0.3149
2.5589 -3.2210 3.5752
-0.2915 4.4133 4.1847
Se O Fe Ni
2 8 1 1
direct
0.6667 0.3333 0.3131
0.3333 0.6667 0.6869
0.1619 0.3239 0.7692
0.3333 0.6667 0.4197
0.1619 0.8381 0.7692
0.8381 0.1619 0.2308
0.3239 0.1619 0.2308
0.8381 0.6761 0.2308
0.6761 0.8381 0.7692
0.6667 0.3333 0.5803
0.0000 0.0000 0.5000
0.0000 0.0000 0.0000
```

Output
Space-group type: No. 164
Crystal system: trigonal
Uncorrected energy, eV/atom: -5.33